# 1
This record from Alexandria describes a geometry-optimized TiCr2Pd structure. The functional is PBE-GGA.

Summary:
* offset from the most stable computed form: 19.2 kJ per mole of atoms
* theoretical density: 7.3 g/cm³
* formation enthalpy at 0 K: 1.6 eV per formula unit
* DOS(E_F): 6.6 states/eV per cell

Cell: 3.5387 3.5387 9.7652 Å, 79.56 79.56 90.00°
Closest atoms and distances in Å follow each position.
Fractional positions:
Cr (0.5836, 0.1250, 0.2500)  2 Cr 2.30
Cr (0.1664, 0.6250, 0.2500)  2 Cr 2.30
Cr (0.3750, 0.4164, 0.7500)  2 Cr 2.30
Cr (0.8750, 0.8336, 0.7500)  2 Cr 2.30
Pd (0.0000, 0.0000, 0.0000)  4 Ti 2.50, 4 Cr 2.72
Pd (0.7500, 0.2500, 0.5000)  4 Ti 2.50, 4 Cr 2.72
Ti (0.5000, 0.5000, 0.0000)  4 Pd 2.50, 4 Cr 2.63
Ti (0.2500, 0.7500, 0.5000)  4 Pd 2.50, 4 Cr 2.63


# 2
This record from Alexandria describes a geometry-optimized TiCr3Pd12 structure. The functional is PBE-GGA.

Summary:
* theoretical density: 10.3 g/cm³
* formation enthalpy at 0 K: -3.6 eV per formula unit
* DOS(E_F): 20.8 states/eV per cell

Cell: 3.9167 3.9167 15.6133 Å, 90.00 90.00 90.00°
Closest atoms and distances in Å follow each position.
Fractional positions:
Ti (0.0000, 0.0000, 0.0000)  12 Pd 2.75-2.77
Cr (0.0000, 0.0000, 0.2536)  12 Pd 2.73-2.82
Cr (0.0000, 0.0000, 0.5000)  12 Pd 2.76-2.77
Cr (0.0000, 0.0000, 0.7464)  12 Pd 2.73-2.82
Pd (0.5000, 0.5000, 0.0000)  8 Pd 2.75, 4 Ti 2.77
Pd (0.5000, 0.5000, 0.2498)  4 Cr 2.77, 8 Pd 2.77
Pd (0.5000, 0.5000, 0.5000)  8 Pd 2.76, 4 Cr 2.77
Pd (0.5000, 0.5000, 0.7502)  4 Cr 2.77, 8 Pd 2.77
Pd (0.5000, 0.0000, 0.1240)  8 Pd 2.75-2.77, 2 Ti 2.75, 2 Cr 2.82
Pd (0.5000, 0.0000, 0.3755)  4 Cr 2.73-2.76, 8 Pd 2.76-2.77
Pd (0.5000, 0.0000, 0.6245)  4 Cr 2.73-2.76, 8 Pd 2.76-2.77
Pd (0.5000, 0.0000, 0.8760)  2 Ti 2.75, 8 Pd 2.75-2.77, 2 Cr 2.82
Pd (0.0000, 0.5000, 0.1240)  8 Pd 2.75-2.77, 2 Ti 2.75, 2 Cr 2.82
Pd (0.0000, 0.5000, 0.3755)  4 Cr 2.73-2.76, 8 Pd 2.76-2.77
Pd (0.0000, 0.5000, 0.6245)  4 Cr 2.73-2.76, 8 Pd 2.76-2.77
Pd (0.0000, 0.5000, 0.8760)  8 Pd 2.75-2.77, 2 Ti 2.75, 2 Cr 2.82


# 3
This record from Alexandria describes a geometry-optimized TiCr2Pd structure. The functional is PBE-GGA.

Summary:
* offset from the most stable computed form: 0.0 kJ per mole of atoms
* theoretical density: 7.7 g/cm³
* formation enthalpy at 0 K: 0.8 eV per formula unit
* DOS(E_F): 4.6 states/eV per cell

Cell: 4.2942 4.2942 4.2942 Å, 60.00 60.00 60.00°
Closest atoms and distances in Å follow each position.
Fractional positions:
Cr (0.2500, 0.2500, 0.2500)  4 Pd 2.63, 4 Ti 2.63
Cr (0.7500, 0.7500, 0.7500)  4 Pd 2.63, 4 Ti 2.63
Pd (0.5000, 0.5000, 0.5000)  8 Cr 2.63
Ti (0.0000, 0.0000, 0.0000)  8 Cr 2.63


# 4
This record from Alexandria describes a geometry-optimized Tl4CrPd15 structure. The functional is PBE-GGA.

Summary:
* theoretical density: 12.3 g/cm³
* formation enthalpy at 0 K: -3.3 eV per formula unit
* DOS(E_F): 22.9 states/eV per cell

Cell: 4.0297 4.0297 20.4283 Å, 90.00 90.00 90.00°
Closest atoms and distances in Å follow each position.
Fractional positions:
Tl (0.0000, 0.0000, 0.1951)  12 Pd 2.85-2.93
Tl (0.0000, 0.0000, 0.3981)  12 Pd 2.85-2.91
Tl (0.0000, 0.0000, 0.6019)  12 Pd 2.85-2.91
Tl (0.0000, 0.0000, 0.8049)  12 Pd 2.85-2.93
Cr (0.0000, 0.0000, 0.0000)  12 Pd 2.74-2.85
Pd (0.5000, 0.5000, 0.0000)  8 Pd 2.74, 4 Cr 2.85
Pd (0.5000, 0.5000, 0.1922)  4 Tl 2.85, 8 Pd 2.89-2.92
Pd (0.5000, 0.5000, 0.3974)  4 Tl 2.85, 8 Pd 2.90-2.91
Pd (0.5000, 0.5000, 0.6026)  4 Tl 2.85, 8 Pd 2.90-2.91
Pd (0.5000, 0.5000, 0.8078)  4 Tl 2.85, 8 Pd 2.89-2.92
Pd (0.5000, 0.0000, 0.0909)  2 Cr 2.74, 8 Pd 2.74-2.89, 2 Tl 2.93
Pd (0.5000, 0.0000, 0.2955)  8 Pd 2.85-2.92, 4 Tl 2.88-2.91
Pd (0.5000, 0.0000, 0.5000)  8 Pd 2.85-2.91, 4 Tl 2.90
Pd (0.5000, 0.0000, 0.7045)  8 Pd 2.85-2.92, 4 Tl 2.88-2.91
Pd (0.5000, 0.0000, 0.9091)  8 Pd 2.74-2.89, 2 Cr 2.74, 2 Tl 2.93
Pd (0.0000, 0.5000, 0.0909)  8 Pd 2.74-2.89, 2 Cr 2.74, 2 Tl 2.93
Pd (0.0000, 0.5000, 0.2955)  8 Pd 2.85-2.92, 4 Tl 2.88-2.91
Pd (0.0000, 0.5000, 0.5000)  8 Pd 2.85-2.91, 4 Tl 2.90
Pd (0.0000, 0.5000, 0.7045)  8 Pd 2.85-2.92, 4 Tl 2.88-2.91
Pd (0.0000, 0.5000, 0.9091)  2 Cr 2.74, 8 Pd 2.74-2.89, 2 Tl 2.93